# CsBrCl5

A relaxed structure of CsBrCl5 (PBE, Alexandria).

Unit cell a=10.372 b=4.946 c=21.994 alpha=90.00 beta=90.00 gamma=90.00
Space group Cmcm (No. 63)
Inequivalent atoms, fractional coordinates:
Cs (0.000, 0.000, 0.000) [4 per cell]
Br (0.000, 0.131, 0.250) [4 per cell]
Cl (0.000, 0.302, 0.750) [4 per cell]
Cl (0.250, 0.250, 0.097) [16 per cell]

Values from the calculation:
Volume   40.296 Å³ per atom
Fermi-level density of states   20.53 states/eV per cell
Uncorrected energy   -2.173 eV/atom